Record 1
! KSb2Cl | Alexandria | PBE | relaxed; values from VASP
&SYSTEM
  ibrav = 0, nat = 4, ntyp = 3
/
ATOMIC_SPECIES
K 39.10 K.upf
Sb 121.76 Sb.upf
Cl 35.45 Cl.upf
CELL_PARAMETERS angstrom
1.767 1.020 10.813
-1.767 1.020 10.813
0.000 -2.040 10.813
ATOMIC_POSITIONS angstrom
K 0.000 0.000 0.000
Sb 0.000 0.000 7.730
Sb 0.000 0.000 24.709
Cl 0.000 0.000 16.220
! Excess energy over the best structure of this formula in the dataset: 0.8911 eV per atom


Record 2
! K2Sb2Cl7 | Alexandria | PBE | relaxed; values from VASP
&SYSTEM
  ibrav = 0, nat = 11, ntyp = 3
/
ATOMIC_SPECIES
K 39.10 K.upf
Sb 121.76 Sb.upf
Cl 35.45 Cl.upf
CELL_PARAMETERS angstrom
4.747 -6.217 0.000
4.747 6.217 0.000
-0.691 0.000 7.663
ATOMIC_POSITIONS angstrom
K 4.747 3.852 0.000
K 4.747 -3.852 0.000
Sb 1.778 0.000 4.490
Sb 7.026 0.000 3.173
Cl 0.833 0.000 1.919
Cl 2.039 2.028 5.980
Cl 2.039 -2.028 5.980
Cl 4.402 0.000 3.831
Cl 6.764 2.028 1.683
Cl 6.764 -2.028 1.683
Cl 7.970 0.000 5.744
! Calculated total energy: -35.64 eV for the cell shown


no.,size of the total moment (μB/f.u.)
1,0.0
2,1.0